{
  "formula": "NaPtI",
  "functional": "PBE",
  "state": "relaxed",
  "lattice_angstrom": [[3.9954, 0.0000, 0.0000], [-1.9864, 5.1589, 0.0000], [-1.1301, -2.3039, 8.9253]],
  "species": ["Na", "Na", "Pt", "Pt", "I", "I"],
  "fractional_positions": [[0.0000, 0.0000, 0.0000], [0.4190, 0.6018, 0.4228], [0.3752, 0.8946, 0.7229], [0.7097, 0.5603, 0.7204], [0.0093, 0.1997, 0.6513], [0.7848, 0.4797, 0.1619]],
  "e_form_raw_ev_per_atom": -0.417,
  "sg": "P1, No. 1",
  "e_above_lowest_polymorph_ev_per_fu": 0.163
}